Arrangement one

Compound: Mg5InGa2
Source: Alexandria
Functional: PBE
Structure: relaxed

Results
Space group: No. 1
Total moment: 0.000 μB per formula unit
Fermi-level density of states: 0.327 states/eV/atom

abc: 7.917 6.452 6.106
angles: 122.26 130.38 90.02
Sites, in units of the cell vectors:
Mg 0.747 0.716 0.943
Mg 0.695 0.689 0.388
Mg 0.191 0.230 0.946
Mg 0.198 0.717 0.946
Mg 0.754 0.228 0.944
Ga 0.682 0.185 0.363
Ga 0.263 0.768 0.528
In 0.248 0.245 0.496

---

Arrangement two

Compound: Mg5InGa2
Source: Alexandria
Functional: PBE
Structure: relaxed

Results
Space group: No. 194
Total moment: 0.000 μB per formula unit
Fermi-level density of states: 0.288 states/eV/atom

abc: 4.790 4.790 18.537
angles: 90.00 90.00 120.00
Sites, in units of the cell vectors:
Mg 0.667 0.333 0.250
Mg 0.000 0.000 0.348
Mg 0.000 0.000 0.152
Mg 0.333 0.667 0.750
Mg 0.333 0.667 0.554
Mg 0.667 0.333 0.054
Mg 0.667 0.333 0.446
Mg 0.000 0.000 0.848
Mg 0.333 0.667 0.946
Mg 0.000 0.000 0.652
Ga 0.333 0.667 0.402
Ga 0.667 0.333 0.598
Ga 0.333 0.667 0.098
Ga 0.667 0.333 0.902
In 0.667 0.333 0.750
In 0.333 0.667 0.250

---

Most stable to least stable, the ends of the list are arrangement one and arrangement two.

---

Arrangement one

Compound: Mg4InGa
Source: Alexandria
Functional: PBE
Structure: relaxed

Results
Space group: No. 216
Total moment: 0.000 μB per formula unit
Fermi-level density of states: 0.236 states/eV/atom

abc: 5.813 5.813 5.813
angles: 60.00 60.00 60.00
Sites, in units of the cell vectors:
Mg 0.625 0.625 0.125
Mg 0.125 0.625 0.625
Mg 0.625 0.125 0.625
Mg 0.625 0.625 0.625
In 0.250 0.250 0.250
Ga 0.000 0.000 0.000

---

Arrangement two

Compound: Mg4InGa
Source: Alexandria
Functional: PBE
Structure: relaxed

Results
Space group: No. 12
Total moment: 0.000 μB per formula unit
Fermi-level density of states: 0.302 states/eV/atom

abc: 3.223 5.392 8.135
angles: 95.58 78.58 72.61
Sites, in units of the cell vectors:
Mg 0.320 0.020 0.341
Mg 0.845 0.489 0.821
Mg 0.155 0.511 0.179
Mg 0.680 0.980 0.659
Ga 0.500 0.500 0.500
In 0.000 0.000 0.000

---

Arrangement three

Compound: Mg4InGa
Source: Alexandria
Functional: PBE
Structure: relaxed

Results
Space group: No. 123
Total moment: 0.000 μB per formula unit
Fermi-level density of states: 0.423 states/eV/atom

abc: 4.718 4.716 6.669
angles: 90.02 89.99 90.01
Sites, in units of the cell vectors:
Mg 0.001 0.497 0.734
Mg 0.501 0.997 0.734
Mg 0.501 0.997 0.262
Mg 0.001 0.497 0.262
In 0.501 0.497 0.998
Ga 0.001 0.997 0.498

---

Most stable to least stable, the ends of the list are arrangement two and arrangement one.

---

Arrangement one

Compound: MgIn2Ga6
Source: Alexandria
Functional: PBE
Structure: relaxed

Results
Space group: No. 12
Total moment: 0.000 μB per formula unit
Fermi-level density of states: 0.367 states/eV/atom

abc: 3.645 7.851 7.851
angles: 60.14 89.94 89.94
Sites, in units of the cell vectors:
Ga 0.501 0.000 0.331
Ga 0.500 0.669 0.331
Ga 0.499 0.000 0.669
Ga 0.499 0.669 0.000
Ga 0.501 0.331 0.000
Ga 0.500 0.331 0.669
Mg 0.000 0.000 0.000
In 0.000 0.333 0.333
In 0.000 0.667 0.667

---

Arrangement two

Compound: MgIn2Ga6
Source: Alexandria
Functional: PBE
Structure: relaxed

Results
Space group: No. 162
Total moment: 0.000 μB per formula unit
Fermi-level density of states: 0.533 states/eV/atom

abc: 2.954 8.683 8.683
angles: 120.00 90.00 90.00
Sites, in units of the cell vectors:
Ga 0.504 0.320 0.000
Ga 0.504 0.680 0.680
Ga 0.496 0.000 0.680
Ga 0.504 0.000 0.320
Ga 0.496 0.680 0.000
Ga 0.496 0.320 0.320
Mg 0.000 0.000 0.000
In 0.500 0.667 0.333
In 0.500 0.333 0.667

---

Most stable to least stable, the ends of the list are arrangement one and arrangement two.

---

Arrangement one

Compound: Mg5InGa
Source: Alexandria
Functional: PBE
Structure: relaxed

Results
Space group: No. 123
Total moment: 0.000 μB per formula unit
Fermi-level density of states: 0.420 states/eV/atom

abc: 4.589 4.589 7.639
angles: 90.00 90.00 90.00
Sites, in units of the cell vectors:
In 0.000 0.000 0.000
Mg 0.500 0.500 0.000
Mg 0.000 0.500 0.708
Mg 0.500 0.000 0.708
Mg 0.000 0.500 0.292
Mg 0.500 0.000 0.292
Ga 0.000 0.000 0.500

---

Arrangement two

Compound: Mg5InGa
Source: Alexandria
Functional: PBE
Structure: relaxed

Results
Space group: No. 15
Total moment: 0.000 μB per formula unit
Fermi-level density of states: 0.411 states/eV/atom

abc: 5.746 5.746 10.076
angles: 77.57 77.57 93.63
Sites, in units of the cell vectors:
Mg 0.010 0.393 0.665
Mg 0.607 0.990 0.835
Mg 0.466 0.757 0.468
Mg 0.757 0.466 0.968
Mg 0.990 0.607 0.335
Mg 0.243 0.534 0.032
Mg 0.534 0.243 0.532
Mg 0.839 0.161 0.250
Mg 0.161 0.839 0.750
Mg 0.393 0.010 0.165
In 0.000 0.000 0.000
In 0.000 0.000 0.500
Ga 0.498 0.502 0.250
Ga 0.502 0.498 0.750

---

Most stable to least stable, the ends of the list are arrangement one and arrangement two.

---

Arrangement one

Compound: Mg6In2Ga
Source: Alexandria
Functional: PBE
Structure: relaxed

Results
Space group: No. 12
Total moment: 0.000 μB per formula unit
Fermi-level density of states: 0.465 states/eV/atom

abc: 5.522 9.213 9.212
angles: 120.02 91.14 91.13
Sites, in units of the cell vectors:
Mg 0.995 0.509 0.330
Mg 0.995 0.830 0.009
Mg 0.505 0.670 0.491
Mg 0.505 0.991 0.170
Mg 0.495 0.330 0.509
Mg 0.495 0.009 0.830
Mg 0.741 0.421 0.920
Mg 0.759 0.080 0.579
Mg 0.005 0.170 0.991
Mg 0.005 0.491 0.670
Mg 0.259 0.579 0.080
Mg 0.241 0.920 0.421
Ga 0.750 0.750 0.250
Ga 0.250 0.250 0.750
In 0.500 0.670 0.830
In 0.000 0.170 0.330
In 0.000 0.830 0.670
In 0.500 0.330 0.170

---

Arrangement two

Compound: Mg6In2Ga
Source: Alexandria
Functional: PBE
Structure: relaxed

Results
Space group: No. 189
Total moment: 0.000 μB per formula unit
Fermi-level density of states: 0.458 states/eV/atom

abc: 3.867 7.809 7.809
angles: 120.00 90.00 90.00
Sites, in units of the cell vectors:
Ga 0.500 0.000 0.000
Mg 0.500 0.621 0.000
Mg 0.500 0.000 0.621
Mg 0.000 0.000 0.252
Mg 0.000 0.748 0.748
Mg 0.000 0.252 0.000
Mg 0.500 0.379 0.379
In 0.000 0.333 0.667
In 0.000 0.667 0.333

---

Most stable to least stable, the ends of the list are arrangement two and arrangement one.

---

Arrangement one

Compound: Mg6InGa5
Source: Alexandria
Functional: PBE
Structure: relaxed

Results
Space group: No. 12
Total moment: 0.000 μB per formula unit
Fermi-level density of states: 0.304 states/eV/atom

abc: 8.247 5.578 6.447
angles: 64.37 82.75 73.05
Sites, in units of the cell vectors:
In 0.000 0.000 0.000
Mg 0.703 0.503 0.616
Mg 0.297 0.497 0.384
Mg 0.297 0.881 0.616
Mg 0.703 0.119 0.384
Mg 0.800 0.645 0.000
Mg 0.200 0.355 0.000
Ga 0.000 0.708 0.583
Ga 0.500 0.500 0.000
Ga 0.500 0.891 0.219
Ga 0.500 0.109 0.781
Ga 0.000 0.292 0.417

---

Arrangement two

Compound: Mg6InGa5
Source: Alexandria
Functional: PBE
Structure: relaxed

Results
Space group: No. 12
Total moment: 0.000 μB per formula unit
Fermi-level density of states: 0.376 states/eV/atom

abc: 4.416 8.080 8.080
angles: 110.58 105.30 105.30
Sites, in units of the cell vectors:
Ga 0.500 0.163 0.837
Ga 0.500 0.837 0.163
Ga 0.000 0.675 0.325
Ga 0.500 0.500 0.500
Ga 0.000 0.325 0.675
Mg 0.229 0.731 0.731
Mg 0.771 0.269 0.269
Mg 0.737 0.570 0.908
Mg 0.737 0.908 0.570
Mg 0.263 0.430 0.092
Mg 0.263 0.092 0.430
In 0.000 0.000 0.000

---

Most stable to least stable, the ends of the list are arrangement two and arrangement one.

---

Arrangement one

Compound: Mg2In3Ga
Source: Alexandria
Functional: PBE
Structure: relaxed

Results
Space group: No. 115
Total moment: 0.000 μB per formula unit
Fermi-level density of states: 0.334 states/eV/atom

abc: 4.202 4.202 8.268
angles: 90.00 90.00 90.00
Sites, in units of the cell vectors:
In 0.500 0.000 0.374
In 0.000 0.000 0.000
In 0.000 0.500 0.626
Ga 0.500 0.500 0.000
Mg 0.000 0.500 0.262
Mg 0.500 0.000 0.738

---

Arrangement two

Compound: Mg2In3Ga
Source: Alexandria
Functional: PBE
Structure: relaxed

Results
Space group: No. 25
Total moment: 0.000 μB per formula unit
Fermi-level density of states: 0.299 states/eV/atom

abc: 3.145 4.673 9.659
angles: 90.00 90.00 90.00
Sites, in units of the cell vectors:
In 0.500 0.500 0.648
In 0.500 0.000 0.173
In 0.500 0.000 0.845
Mg 0.000 0.500 0.010
Mg 0.000 0.000 0.479
Ga 0.500 0.500 0.345

---

Most stable to least stable, the ends of the list are arrangement two and arrangement one.

---

Arrangement one

Compound: Mg8InGa2
Source: Alexandria
Functional: PBE
Structure: relaxed

Results
Space group: No. 2
Total moment: 0.000 μB per formula unit
Fermi-level density of states: 0.405 states/eV/atom

abc: 5.421 5.404 9.714
angles: 100.66 121.78 81.02
Sites, in units of the cell vectors:
Mg 0.598 0.555 0.186
Mg 0.309 0.913 0.633
Mg 0.402 0.445 0.814
Mg 0.952 0.729 0.911
Mg 0.231 0.363 0.452
Mg 0.048 0.271 0.089
Mg 0.691 0.087 0.367
Mg 0.769 0.637 0.548
In 0.500 0.000 0.000
Ga 0.847 0.185 0.719
Ga 0.153 0.815 0.281

---

Arrangement two

Compound: Mg8InGa2
Source: Alexandria
Functional: PBE
Structure: relaxed

Results
Space group: No. 12
Total moment: 0.000 μB per formula unit
Fermi-level density of states: 0.310 states/eV/atom

abc: 4.500 7.142 8.358
angles: 111.91 105.62 90.00
Sites, in units of the cell vectors:
Mg 0.033 0.748 0.067
Mg 0.174 0.255 0.348
Mg 0.826 0.745 0.652
Mg 0.676 0.929 0.352
Mg 0.599 0.466 0.198
Mg 0.324 0.071 0.648
Mg 0.967 0.252 0.933
Mg 0.401 0.534 0.802
Ga 0.195 0.674 0.390
Ga 0.805 0.326 0.610
In 0.500 0.000 0.000

---

Most stable to least stable, the ends of the list are arrangement two and arrangement one.

---

Arrangement one

Compound: Mg6InGa3
Source: Alexandria
Functional: PBE
Structure: relaxed

Results
Space group: No. 36
Total moment: 0.000 μB per formula unit
Fermi-level density of states: 0.170 states/eV/atom

abc: 6.159 8.739 8.739
angles: 110.21 90.00 90.00
Sites, in units of the cell vectors:
Mg 0.792 0.046 0.954
Mg 0.617 0.670 0.717
Mg 0.306 0.062 0.454
Mg 0.617 0.272 0.728
Mg 0.806 0.454 0.062
Mg 0.617 0.283 0.330
Mg 0.117 0.728 0.272
Mg 0.306 0.546 0.938
Mg 0.292 0.954 0.046
Mg 0.117 0.717 0.670
Mg 0.117 0.330 0.283
Mg 0.806 0.938 0.546
Ga 0.806 0.589 0.411
Ga 0.919 0.738 0.975
Ga 0.306 0.411 0.589
Ga 0.419 0.975 0.738
Ga 0.419 0.262 0.025
Ga 0.919 0.025 0.262
In 0.086 0.220 0.780
In 0.586 0.780 0.220

---

Arrangement two

Compound: Mg6InGa3
Source: Alexandria
Functional: PBE
Structure: relaxed

Results
Space group: No. 11
Total moment: 0.000 μB per formula unit
Fermi-level density of states: 0.323 states/eV/atom

abc: 4.523 9.371 9.763
angles: 92.33 90.00 90.00
Sites, in units of the cell vectors:
Mg 0.250 0.466 0.103
Mg 0.750 0.842 0.792
Mg 0.250 0.055 0.905
Mg 0.750 0.534 0.897
Mg 0.250 0.270 0.521
Mg 0.750 0.730 0.479
Mg 0.250 0.158 0.208
Mg 0.750 0.945 0.095
Mg 0.250 0.829 0.281
Mg 0.750 0.171 0.719
Mg 0.250 0.627 0.692
Mg 0.750 0.373 0.308
Ga 0.750 0.248 0.019
Ga 0.750 0.654 0.177
Ga 0.250 0.346 0.823
Ga 0.250 0.752 0.981
Ga 0.750 0.455 0.602
Ga 0.250 0.545 0.398
In 0.750 0.056 0.401
In 0.250 0.944 0.599

---

Most stable to least stable, the ends of the list are arrangement two and arrangement one.

---

Arrangement one

Compound: Mg4In5Ga
Source: Alexandria
Functional: PBE
Structure: relaxed

Results
Space group: No. 123
Total moment: 0.000 μB per formula unit
Fermi-level density of states: 0.250 states/eV/atom

abc: 3.423 3.423 20.008
angles: 90.00 90.00 90.00
Sites, in units of the cell vectors:
Mg 0.000 0.000 0.600
Mg 0.000 0.000 0.400
Mg 0.000 0.000 0.200
Mg 0.000 0.000 0.800
In 0.500 0.500 0.902
In 0.500 0.500 0.300
In 0.500 0.500 0.098
In 0.500 0.500 0.700
In 0.500 0.500 0.500
Ga 0.000 0.000 0.000

---

Arrangement two

Compound: Mg4In5Ga
Source: Alexandria
Functional: PBE
Structure: relaxed

Results
Space group: No. 2
Total moment: 0.000 μB per formula unit
Fermi-level density of states: 0.326 states/eV/atom

abc: 5.539 6.470 7.184
angles: 104.30 106.64 74.17
Sites, in units of the cell vectors:
In 0.296 0.189 0.604
In 0.890 0.608 0.796
In 0.110 0.392 0.204
In 0.704 0.811 0.396
In 0.500 0.500 0.000
Mg 0.101 0.897 0.192
Mg 0.302 0.703 0.607
Mg 0.899 0.103 0.808
Mg 0.698 0.297 0.393
Ga 0.500 0.000 0.000

---

Most stable to least stable, the ends of the list are arrangement two and arrangement one.